1.
Material: Cu5Ag
Method: DFT, PBE
State: optimized geometry

Properties
Space group: C2/m
Final energy: -3.504 eV per atom

Geometry as POSCAR:
```
Cu5Ag
1.0
11.2329 0.0000 0.0000
0.0000 2.6447 0.0000
-1.2493 0.0000 5.1816
Cu Ag
10 2
Direct
0.0000 0.0000 0.0000
0.1697 0.5000 0.8466
0.1743 0.5000 0.3267
0.3257 0.0000 0.6733
0.3303 0.0000 0.1534
0.5000 0.5000 0.0000
0.6697 0.0000 0.8466
0.6743 0.0000 0.3267
0.8257 0.5000 0.6733
0.8303 0.5000 0.1534
0.0000 0.0000 0.5000
0.5000 0.5000 0.5000
```



2.
Material: TlCuMoS3
Method: DFT, PBE
State: optimized geometry

Properties
Space group: Cmcm
E above lowest polymorph: 28 meV/atom

Geometry as POSCAR:
```
TlCuMoS3
1.0
1.7145 -7.3109 0.0000
1.7145 7.3109 0.0000
0.0000 0.0000 9.4110
Tl Cu Mo S
2 2 2 6
Direct
0.2439 0.7561 0.7500
0.7561 0.2439 0.2500
0.0424 0.9576 0.2500
0.9576 0.0424 0.7500
0.5000 0.5000 0.0000
0.5000 0.5000 0.5000
0.1196 0.8804 0.0436
0.1196 0.8804 0.4564
0.4372 0.5628 0.2500
0.5628 0.4372 0.7500
0.8804 0.1196 0.5436
0.8804 0.1196 0.9564
```



3.
Material: Hf2RePb
Method: DFT, PBE
State: optimized geometry

Properties
Space group: F-43m
Final energy: -8.685 eV per atom

Geometry as POSCAR:
```
Hf2RePb
1.0
6.8087 0.0000 0.0000
0.0000 6.8087 0.0000
0.0000 0.0000 6.8087
Hf Re Pb
8 4 4
Direct
0.0000 0.0000 0.0000
0.0000 0.5000 0.5000
0.2500 0.2500 0.2500
0.2500 0.7500 0.7500
0.5000 0.0000 0.5000
0.5000 0.5000 0.0000
0.7500 0.2500 0.7500
0.7500 0.7500 0.2500
0.2500 0.2500 0.7500
0.2500 0.7500 0.2500
0.7500 0.2500 0.2500
0.7500 0.7500 0.7500
0.0000 0.0000 0.5000
0.0000 0.5000 0.0000
0.5000 0.0000 0.0000
0.5000 0.5000 0.5000
```



4.
Material: TbZn4Ag8
Method: DFT, PBE
State: optimized geometry

Properties
Space group: I4/mmm
Final energy: -2.634 eV per atom

Geometry as POSCAR:
```
TbZn4Ag8
1.0
-4.7041 4.7041 2.6226
4.7041 -4.7041 2.6226
4.7041 4.7041 -2.6226
Tb Zn Ag
1 4 8
Direct
0.0000 0.0000 0.0000
0.0000 0.0000 0.5000
0.0000 0.5000 0.0000
0.5000 0.0000 0.0000
0.5000 0.5000 0.5000
0.0000 0.3462 0.3462
0.0000 0.6538 0.6538
0.2849 0.5000 0.7849
0.3462 0.0000 0.3462
0.5000 0.2849 0.7849
0.5000 0.7151 0.2151
0.6538 0.0000 0.6538
0.7151 0.5000 0.2151
```



5.
Material: CsNdCdS3
Method: DFT, PBE
State: optimized geometry

Properties
Space group: C2/m
Final energy: -4.455 eV per atom

Geometry as POSCAR:
```
CsNdCdS3
1.0
8.7453 -2.1458 0.0000
8.7453 2.1458 0.0000
-2.0503 0.0000 9.1362
Cs Nd Cd S
2 2 2 6
Direct
0.1497 0.1497 0.0615
0.8503 0.8503 0.9385
0.1662 0.1662 0.5785
0.8338 0.8338 0.4215
0.4996 0.4996 0.2783
0.5004 0.5004 0.7217
0.0000 0.0000 0.5000
0.3348 0.3348 0.6285
0.3464 0.3464 0.2356
0.5000 0.5000 0.0000
0.6536 0.6536 0.7644
0.6652 0.6652 0.3715
```



6.
Material: Sc2FeB2Ir5
Method: DFT, PBE
State: optimized geometry

Properties
Space group: P4/mbm
Final energy: -8.572 eV per atom

Geometry as POSCAR:
```
Sc2FeB2Ir5
1.0
9.3835 0.0000 0.0000
0.0000 9.3835 0.0000
0.0000 0.0000 3.0652
Sc Fe B Ir
4 2 4 10
Direct
0.1767 0.3233 0.0000
0.3233 0.8233 0.0000
0.6767 0.1767 0.0000
0.8233 0.6767 0.0000
0.0000 0.0000 0.0000
0.5000 0.5000 0.0000
0.1246 0.6246 0.0000
0.3754 0.1246 0.0000
0.6246 0.8754 0.0000
0.8754 0.3754 0.0000
0.0000 0.5000 0.5000
0.0691 0.7844 0.5000
0.2156 0.0691 0.5000
0.2844 0.5691 0.5000
0.4309 0.2844 0.5000
0.5000 0.0000 0.5000
0.5691 0.7156 0.5000
0.7156 0.4309 0.5000
0.7844 0.9309 0.5000
0.9309 0.2156 0.5000
```



7.
Material: CdSbPO
Method: DFT, PBE
State: optimized geometry

Properties
Space group: Pmc2_1
E above lowest polymorph: 23 meV/atom

Geometry as POSCAR:
```
CdSbPO
1.0
4.4913 0.0000 0.0000
0.0000 6.0330 0.0000
0.0000 0.0000 5.9033
Cd Sb P O
2 2 2 2
Direct
0.0000 0.1787 0.0000
0.0000 0.8213 0.5000
0.5000 0.2512 0.4314
0.5000 0.7488 0.9314
0.5000 0.3276 0.8615
0.5000 0.6724 0.3615
0.0000 0.1923 0.3944
0.0000 0.8077 0.8944
```



8.
Material: AgHgPd2
Method: DFT, PBE
State: optimized geometry

Properties
Space group: P4/mmm
E above lowest polymorph: 0 meV/atom

Geometry as POSCAR:
```
AgHgPd2
1.0
4.3532 0.0000 0.0000
0.0000 4.3532 0.0000
0.0000 0.0000 3.6215
Ag Hg Pd
1 1 2
Direct
0.0000 0.0000 0.0000
0.5000 0.5000 0.0000
0.0000 0.5000 0.5000
0.5000 0.0000 0.5000
```



The following calculated volume values (in Å³ per cell) correspond, in order, to the records above: 153.9, 235.9, 315.6, 232.1, 342.9, 269.9, 160.0, 68.6.
The following calculated density values (in g/cm³) correspond, in order, to the records above: 9.2, 6.5, 15.8, 9.2, 4.7, 13.9, 5.8, 12.6.